Entry 1:
The following is a PBE-GGA calculation of an optimized crystal structure of LiTlNiPt, from OQMD.

Cell: 4.394 4.394 4.394 Å, 60.00 60.00 60.00°
Fractional coordinates of all 4 atoms:
Li1 0.000 0.000 0.000
Tl1 0.250 0.250 0.250
Ni1 0.500 0.500 0.500
Pt1 0.750 0.750 0.750

Output
M_tot ... 0.000 μB/cell
Polymorph energy (0 for the lowest one) ... 0 meV/atom

---

Entry 2:
The following is a PBE-GGA calculation of an optimized crystal structure of BaZn2Ag3, from OQMD.

Cell: 7.140 7.140 5.468 Å, 90.00 90.00 77.97°
Fractional coordinates of all 12 atoms:
Ba1 0.179 0.821 0.750
Ba2 0.821 0.179 0.250
Zn1 0.289 0.289 0.000
Zn2 0.289 0.289 0.500
Zn3 0.711 0.711 0.000
Zn4 0.711 0.711 0.500
Ag1 0.034 0.577 0.250
Ag2 0.423 0.966 0.250
Ag3 0.435 0.565 0.250
Ag4 0.565 0.435 0.750
Ag5 0.577 0.034 0.750
Ag6 0.966 0.423 0.750

Output
E_tot ... -2.378 eV per atom

---

Entry 3:
The following is a PBE-GGA calculation of an optimized crystal structure of Li4SnHg2Ge, from OQMD.

Cell: 4.702 4.702 6.628 Å, 90.00 90.00 90.00°
Fractional coordinates of all 8 atoms:
Li1 0.000 0.000 0.000
Li2 0.000 0.500 0.735
Li3 0.500 0.000 0.265
Li4 0.500 0.500 0.500
Sn1 0.500 0.500 0.000
Hg1 0.000 0.500 0.264
Hg2 0.500 0.000 0.736
Ge1 0.000 0.000 0.500

Output
E_tot ... -2.406 eV per atom

---

Entry 4:
The following is a PBE-GGA calculation of an optimized crystal structure of NbSnB4, from OQMD.

Cell: 3.063 3.063 8.609 Å, 90.00 90.00 120.00°
Fractional coordinates of all 6 atoms:
Nb1 0.000 0.000 0.000
Sn1 0.000 0.000 0.500
B1 0.333 0.667 0.194
B2 0.333 0.667 0.806
B3 0.667 0.333 0.194
B4 0.667 0.333 0.806

Output
M_tot ... 0.005 μB/cell
Polymorph energy (0 for the lowest one) ... 0 meV/atom

---

Entry 5:
The following is a PBE-GGA calculation of an optimized crystal structure of Ta4Co3Mo2C3, from OQMD.

Cell: 5.256 5.256 13.386 Å, 101.73 101.73 58.96°
Fractional coordinates of all 24 atoms:
Ta1 0.026 0.202 0.092
Ta2 0.136 0.303 0.407
Ta3 0.202 0.026 0.592
Ta4 0.303 0.136 0.907
Ta5 0.697 0.864 0.093
Ta6 0.798 0.974 0.408
Ta7 0.864 0.697 0.593
Ta8 0.974 0.798 0.908
Co1 0.104 0.896 0.750
Co2 0.116 0.403 0.749
Co3 0.403 0.116 0.249
Co4 0.597 0.884 0.751
Co5 0.884 0.597 0.251
Co6 0.896 0.104 0.250
Mo1 0.392 0.537 0.128
Mo2 0.463 0.608 0.372
Mo3 0.537 0.392 0.628
Mo4 0.608 0.463 0.872
C1 0.000 0.500 0.000
C2 0.189 0.655 0.500
C3 0.345 0.811 0.000
C4 0.500 0.000 0.500
C5 0.655 0.189 0.000
C6 0.811 0.345 0.500

Output
M_tot ... 0.084 μB/cell
E_tot ... -9.931 eV per atom

---

Question: What is the formula in the fifth record?
Answer: Ta4Co3Mo2C3